Entry 1:
First-principles (PBE) data for a relaxed Tb8PrTh2 crystal, as listed in Alexandria via LeMat-Bulk.

* ΔE to the lowest computed polymorph: 0 meV per atom
* volume: 34.3 Å³/atom
* magnetization: 0.0 μB/f.u.
* ΔE_f: 0.182 eV/atom
* density: 8.3 g cm⁻³
* total DFT energy (no corrections): -0.365 Ry/atom

Cell: 5.583 10.213 10.213 Å, 40.43 92.17 92.17°
Element x y z (fractional)
Tb: 0.738 0.403 0.863
Tb: 0.233 0.184 0.184
Tb: 0.761 0.452 0.452
Tb: 0.262 0.137 0.597
Tb: 0.767 0.816 0.816
Tb: 0.239 0.548 0.548
Tb: 0.738 0.863 0.403
Tb: 0.262 0.597 0.137
Th: 0.738 0.282 0.282
Th: 0.262 0.718 0.718
Pr: 0.000 0.000 0.000

=====

Entry 2:
First-principles (PBE) data for a relaxed TaIn2Mo crystal, as listed in Alexandria via LeMat-Bulk.

* ΔE to the lowest computed polymorph: 151 meV per atom
* volume: 19.1 Å³/atom
* magnetization: 0.0 μB/f.u.
* ΔE_f: 0.343 eV/atom
* density: 11.0 g cm⁻³
* total DFT energy (no corrections): -0.492 Ry/atom

Cell: 5.477 5.477 2.922 Å, 82.29 82.29 115.95°
Element x y z (fractional)
In: 0.500 0.500 0.000
In: 0.000 0.000 0.000
Mo: 0.500 0.000 0.500
Ta: 0.000 0.500 0.500